No. 1
Dy7Y12Er after structural relaxation. Source: Alexandria, functional PBE.

The energy relative to the lowest polymorph listed for this composition is 0.0485 eV/atom. For the density of states at the Fermi level, the calculation gives 29.42 states/eV/f.u. For the calculated formation energy, the calculation gives 0.330 eV/atom.

The space group is R-3 (No. 148, hexagonal axes) and the conventional cell measures 18.6070, 18.6070 and 6.7079 Å, with angles of 90.00, 90.00 and 120.00 degrees. The inequivalent atoms are Dy at (0.0000, 0.0000, 0.0000), Dy at (0.0095, 0.1555, 0.2897), Y at (0.0001, 0.2103, 0.7939), Y at (0.0077, 0.5379, 0.2374) and Er at (0.0000, 0.0000, 0.5000).

***

No. 2
Dy6Y2Er after structural relaxation. Source: Alexandria, functional PBE.

For the density of states at the Fermi level, the calculation gives 11.43 states/eV/f.u. For the calculated formation energy, the calculation gives 0.021 eV/atom.

The space group is P4_2/mnm (No. 136) and the conventional cell measures 10.633, 10.633 and 5.015 Å, with angles of 90.00, 90.00 and 90.00 degrees. The inequivalent atoms are Dy at (0.000, 0.334, 0.000), Dy at (0.166, 0.166, 0.500), Y at (0.166, 0.834, 0.500) and Er at (0.000, 0.000, 0.000).

***

No. 3
Dy2YEr3 after structural relaxation. Source: Alexandria, functional PBE.

The energy relative to the lowest polymorph listed for this composition is 0.0000 eV/atom. For the density of states at the Fermi level, the calculation gives 9.88 states/eV/f.u. For the calculated formation energy, the calculation gives 0.002 eV/atom.

The space group is C2/m (No. 12) and the conventional cell measures 21.823, 3.614 and 11.171 Å, with angles of 90.00, 120.79 and 90.00 degrees. The inequivalent atoms are Dy at (0.056, 0.000, 0.429), Dy at (0.223, 0.500, 0.598), Y at (0.111, 0.500, 0.737), Er at (0.055, 0.000, 0.932), Er at (0.111, 0.500, 0.235) and Er at (0.221, 0.500, 0.096).

***

No. 4
Dy3Y2Er2 after structural relaxation. Source: Alexandria, functional PBE.

For the density of states at the Fermi level, the calculation gives 9.44 states/eV/f.u. For the calculated formation energy, the calculation gives 0.022 eV/atom.

The space group is C2/m (No. 12) and the conventional cell measures 15.457, 3.534 and 8.676 Å, with angles of 90.00, 112.04 and 90.00 degrees. The inequivalent atoms are Dy at (0.000, 0.000, 0.000), Dy at (0.214, 0.500, 0.143), Y at (0.071, 0.500, 0.713) and Er at (0.144, 0.000, 0.428).